# 1
Here is a relaxed Mg3Au crystal from Alexandria via LeMat-Bulk. Energies are from PBE-GGA.

```
Mg3Au
1.0
3.403 0.000 0.000
0.000 3.337 0.000
-0.021 0.000 7.167
Mg Au
3 1
Cartesian
0.000 0.000 0.000 Mg
1.683 1.669 5.120 Mg
1.698 1.669 2.048 Mg
-0.011 0.000 3.584 Au
```

Output
Its space-group type is No. 10. The formation energy is -0.33 eV per atom. As for the energy above the most stable polymorph in this dataset: 89 meV/atom.

# 2
Here is a relaxed Rb2RhCF6 crystal from Alexandria via LeMat-Bulk. Energies are from PBE-GGA.

```
Rb2RhCF6
1.0
-2.839 2.839 4.996
2.839 -2.839 4.996
2.839 2.839 -4.996
Rb Rh C F
2 1 1 6
Cartesian
2.839 0.000 2.498 Rb
0.000 2.839 2.498 Rb
0.000 0.000 0.000 Rh
0.000 0.000 4.996 C
0.000 0.000 2.009 F
1.442 1.442 0.000 F
1.397 -1.397 4.996 F
-1.397 1.397 4.996 F
1.397 1.397 4.996 F
0.000 0.000 7.984 F
```

Output
Its space-group type is No. 139. The value obtained for the formation energy (no corrections) is -31.29 kcal/mol of atoms.

# 3
Here is a relaxed YAl crystal from Alexandria via LeMat-Bulk. Energies are from PBE-GGA.

```
YAl
1.0
4.558 0.000 0.000
0.000 10.268 0.000
0.000 0.000 6.260
Y Al
6 6
Cartesian
0.000 0.000 0.000 Y
0.000 3.249 1.490 Y
0.000 7.020 1.490 Y
2.279 1.886 4.620 Y
2.279 5.134 3.130 Y
2.279 8.383 4.620 Y
0.000 0.000 3.056 Al
0.000 3.778 4.714 Al
0.000 6.490 4.714 Al
2.279 1.356 1.583 Al
2.279 5.134 6.186 Al
2.279 8.912 1.583 Al
```

Output
Its space-group type is No. 44. The formation energy is -0.30 eV per atom.

# 4
Here is a relaxed Ac13Pm3 crystal from Alexandria via LeMat-Bulk. Energies are from PBE-GGA.

```
Ac13Pm3
1.0
11.201 0.000 0.000
0.000 5.533 5.558
0.000 -5.533 5.558
Ac Pm
13 3
Cartesian
0.000 0.000 0.000 Ac
0.000 -2.719 2.736 Ac
0.000 2.719 2.736 Ac
0.000 0.000 5.472 Ac
2.821 0.000 8.306 Ac
2.836 -2.795 5.512 Ac
2.836 2.795 5.512 Ac
5.600 -2.816 8.275 Ac
5.600 0.000 5.470 Ac
5.600 2.816 8.275 Ac
8.364 -2.795 5.512 Ac
8.364 2.795 5.512 Ac
8.379 0.000 8.306 Ac
2.847 0.000 2.704 Pm
5.600 0.000 11.107 Pm
8.354 0.000 2.704 Pm
```

Output
Its space-group type is No. 38. The formation energy is 0.03 eV per atom.

# 5
Here is a relaxed Ni5Pb crystal from Alexandria via LeMat-Bulk. Energies are from PBE-GGA.

```
Ni5Pb
1.0
3.089 0.000 0.000
0.000 3.089 0.000
0.000 0.000 8.337
Ni Pb
5 1
Cartesian
0.000 0.000 0.000 Ni
0.000 0.000 2.436 Ni
0.000 0.000 5.901 Ni
1.544 1.544 1.208 Ni
1.544 1.544 7.128 Ni
1.544 1.544 4.168 Pb
```

Output
Its space-group type is No. 123. The formation energy is 0.24 eV per atom.

# 6
Here is a relaxed Ac2TaCd crystal from Alexandria via LeMat-Bulk. Energies are from PBE-GGA.

```
Ac2TaCd
1.0
3.438 0.000 0.000
-1.719 2.977 0.000
0.000 0.000 36.505
Ac Ta Cd
6 3 3
Cartesian
0.000 0.000 3.059 Ac
0.000 0.000 33.446 Ac
0.000 1.985 21.277 Ac
0.000 1.985 27.396 Ac
1.719 0.992 9.109 Ac
1.719 0.992 15.227 Ac
0.000 0.000 0.000 Ta
0.000 1.985 24.337 Ta
1.719 0.992 12.168 Ta
0.000 0.000 18.252 Cd
0.000 1.985 6.084 Cd
1.719 0.992 30.421 Cd
```

Output
Its space-group type is No. 166. The formation energy is 0.83 eV per atom.

# 7
Here is a relaxed Ba2NaS crystal from Alexandria via LeMat-Bulk. Energies are from PBE-GGA.

```
Ba2NaS
1.0
4.445 0.000 0.000
-2.223 3.850 0.000
0.000 0.000 31.212
Ba Na S
6 3 3
Cartesian
0.000 0.000 0.000 Ba
0.000 0.000 6.705 Ba
0.000 2.566 20.808 Ba
0.000 2.566 27.512 Ba
2.223 1.283 10.404 Ba
2.223 1.283 17.108 Ba
0.000 0.000 24.156 Na
0.000 2.566 13.752 Na
2.223 1.283 3.349 Na
0.000 0.000 18.964 S
0.000 2.566 8.560 S
2.223 1.283 29.368 S
```

Output
Its space-group type is No. 160. The value obtained for the formation energy (no corrections) is -21.62 kcal/mol of atoms.

# 8
Here is a relaxed Rb2BaTeO6 crystal from Alexandria via LeMat-Bulk. Energies are from PBE-GGA.

```
Rb2BaTeO6
1.0
5.609 -3.238 0.000
5.609 3.238 0.000
-3.740 0.000 5.290
Rb Ba Te O
2 1 1 6
Cartesian
1.869 0.000 1.322 Rb
5.610 0.000 3.968 Rb
-1.870 0.000 2.645 Ba
5.609 0.000 0.000 Te
4.808 1.372 1.114 O
0.294 0.000 4.157 O
2.671 1.372 4.176 O
4.808 -1.372 1.114 O
7.184 0.000 1.133 O
2.671 -1.372 4.176 O
```

Output
Its space-group type is No. 12. The value obtained for the formation energy (no corrections) is -33.68 kcal/mol of atoms.

| no. | Fermi-level density of states (states/eV/f.u.) |
| --- | --- |
| 1 | 0.56 |
| 2 | 0.00 |
| 3 | 1.71 |
| 4 | 29.55 |
| 5 | 8.69 |
| 6 | 5.65 |
| 7 | 4.16 |
| 8 | 5.60 |